[1]
## Mg12Tl6In (PBE-GGA)

Data for a geometry-optimized Mg12Tl6In structure.

The calculation puts the total magnetic moment at 0.0 μB/cell. The offset from the most stable computed form is 0 meV/atom. As for the calculated formation energy: -24.4 meV per atom. The total energy comes out at -36.5 eV per cell.

abc: 8.5350 8.5350 8.5350
angles: 110.50 110.50 110.50
Element x y z (fractional)
In 0.0000 0.0000 0.0000
Tl 0.9231 0.4106 0.6283
Tl 0.0769 0.5894 0.3717
Tl 0.4106 0.6283 0.9231
Mg 0.7961 0.6835 0.5345
Mg 0.9048 0.8404 0.2672
Mg 0.2672 0.9048 0.8404
Mg 0.6835 0.5345 0.7961
Mg 0.3165 0.4655 0.2039
Mg 0.1596 0.7328 0.0952
Mg 0.8404 0.2672 0.9048
Mg 0.2039 0.3165 0.4655
Mg 0.7328 0.0952 0.1596
Mg 0.4655 0.2039 0.3165
Tl 0.3717 0.0769 0.5894
Tl 0.5894 0.3717 0.0769
Mg 0.0952 0.1596 0.7328
Tl 0.6283 0.9231 0.4106
Mg 0.5345 0.7961 0.6835

---

[2]
## Li2Be2AlPd5 (PBE-GGA)

Data for a geometry-optimized Li2Be2AlPd5 structure.

The calculation puts the total magnetic moment at 0.0 μB/cell. As for the calculated formation energy: -602.4 meV per atom. The total energy comes out at -94.0 eV per cell.

abc: 2.9440 9.6985 9.6985
angles: 90.00 90.00 90.00
Element x y z (fractional)
Li 0.0000 0.1736 0.3264
Al 0.0000 0.0000 0.0000
Pd 0.5000 0.7060 0.4304
Be 0.0000 0.3733 0.1267
Pd 0.5000 0.2060 0.0696
Li 0.0000 0.6736 0.1736
Pd 0.5000 0.0696 0.7940
Be 0.0000 0.6267 0.8733
Pd 0.5000 0.5000 0.0000
Pd 0.5000 0.9304 0.2060
Be 0.0000 0.8733 0.3733
Pd 0.5000 0.4304 0.2940
Be 0.0000 0.1267 0.6267
Li 0.0000 0.8264 0.6736
Pd 0.5000 0.0000 0.5000
Al 0.0000 0.5000 0.5000
Li 0.0000 0.3264 0.8264
Pd 0.5000 0.5696 0.7060
Pd 0.5000 0.7940 0.9304
Pd 0.5000 0.2940 0.5696

---

[3]
## SbOsRu2 (PBE-GGA)

Data for a geometry-optimized SbOsRu2 structure.

The calculation puts the total magnetic moment at 0.0 μB/cell. The total energy comes out at -32.7 eV per cell. The value obtained for the uncorrected formation energy is 1.16 eV per formula unit.

abc: 4.7972 4.7972 4.7652
angles: 81.47 81.47 35.32
Element x y z (fractional)
Ru 0.9998 0.9998 0.9816
Sb 0.5030 0.5030 0.4828
Os 0.7393 0.7393 0.7877
Ru 0.2579 0.2579 0.2480

---

[4]
## Dy4PuO10 (PBE-GGA)

Data for a geometry-optimized Dy4PuO10 structure.

The calculation puts the total magnetic moment at 0.1 μB/cell. The total energy comes out at -127.8 eV per cell. The value obtained for the uncorrected formation energy is -45.47 eV per formula unit.

abc: 5.3679 6.5250 6.5250
angles: 80.26 65.71 65.71
Element x y z (fractional)
Dy 0.8058 0.5980 0.7904
O 0.7500 0.5000 0.5000
Dy 0.1942 0.4020 0.2096
O 0.6689 0.2833 0.9127
O 0.1350 0.2833 0.9127
O 0.5817 0.0873 0.2833
O 0.0477 0.0873 0.2833
Dy 0.5962 0.2096 0.5980
Pu 0.0000 0.0000 0.0000
O 0.9523 0.9127 0.7167
O 0.8650 0.7167 0.0873
Dy 0.4038 0.7904 0.4020
O 0.3311 0.7167 0.0873
O 0.2500 0.5000 0.5000
O 0.4183 0.9127 0.7167

---

[5]
## Nd12Er3Hg (PBE-GGA)

Data for a geometry-optimized Nd12Er3Hg structure.

The calculation puts the total magnetic moment at 0.0 μB/cell. As for the calculated formation energy: -24.9 meV per atom. The total energy comes out at -71.6 eV per cell.

abc: 5.0748 5.0748 20.5871
angles: 90.00 90.00 90.00
Element x y z (fractional)
Nd 0.5000 0.0000 0.1214
Nd 0.0000 0.5000 0.8786
Er 0.0000 0.0000 0.5000
Er 0.0000 0.0000 0.7524
Nd 0.0000 0.5000 0.1214
Nd 0.5000 0.5000 0.7540
Nd 0.5000 0.5000 0.5000
Nd 0.5000 0.0000 0.8786
Nd 0.0000 0.5000 0.6263
Nd 0.5000 0.0000 0.6263
Nd 0.5000 0.5000 0.2460
Nd 0.0000 0.5000 0.3737
Nd 0.5000 0.5000 0.0000
Hg 0.0000 0.0000 0.0000
Nd 0.5000 0.0000 0.3737
Er 0.0000 0.0000 0.2476

---

[6]
## PrAl11Ru (PBE-GGA)

Data for a geometry-optimized PrAl11Ru structure.

The calculation puts the total magnetic moment at 0.0 μB/cell. As for the calculated formation energy: -282.8 meV per atom. The total energy comes out at -58.9 eV per cell.

abc: 5.2276 7.2333 6.8463
angles: 82.63 67.56 70.38
Element x y z (fractional)
Al 0.0000 0.5000 0.0000
Al 0.5000 0.0000 0.5000
Al 0.0161 0.6387 0.3479
Al 0.7212 0.7697 0.7803
Al 0.5015 0.7697 0.2197
Al 0.2788 0.2303 0.2197
Al 0.9839 0.3613 0.6521
Al 0.0000 0.0000 0.5000
Al 0.6361 0.3613 0.3479
Ru 0.5000 0.5000 0.0000
Al 0.4985 0.2303 0.7803
Al 0.3639 0.6387 0.6521
Pr 0.0000 0.0000 0.0000

---

[7]
## Cs2Cd3HgPb4 (PBE-GGA)

Data for a geometry-optimized Cs2Cd3HgPb4 structure.

The calculation puts the total magnetic moment at 0.0 μB/cell. As for the calculated formation energy: -90.4 meV per atom. The total energy comes out at -20.5 eV per cell.

abc: 5.2294 5.2294 12.8490
angles: 90.00 90.00 90.00
Element x y z (fractional)
Cd 0.5000 0.0000 0.8646
Cd 0.0000 0.5000 0.1354
Hg 0.5000 0.5000 0.5000
Pb 0.5000 0.5000 0.0000
Cs 0.0000 0.5000 0.7438
Pb 0.0000 0.5000 0.3729
Cs 0.5000 0.0000 0.2562
Pb 0.5000 0.0000 0.6271
Cd 0.0000 0.0000 0.5000
Pb 0.0000 0.0000 0.0000

---

[8]
## Hf2CdCo (PBE-GGA)

Data for a geometry-optimized Hf2CdCo structure.

The calculation puts the total magnetic moment at 0.0 μB/cell. As for the calculated formation energy: -15.4 meV per atom. The total energy comes out at -28.0 eV per cell.

abc: 3.3494 3.3494 8.5372
angles: 78.69 78.69 60.00
Element x y z (fractional)
Hf 0.0644 0.0644 0.8067
Co 0.6668 0.6668 0.9995
Cd 0.4993 0.4993 0.5020
Hf 0.2694 0.2694 0.1917

---

[9]
## Hg2Ge2Au (PBE-GGA)

Data for a geometry-optimized Hg2Ge2Au structure.

The calculation puts the total magnetic moment at 0.0 μB/cell. The offset from the most stable computed form is 259 meV/atom. As for the calculated formation energy: 315.1 meV per atom. The total energy comes out at -23.1 eV per cell.

abc: 7.6347 7.6347 3.9062
angles: 90.00 90.00 90.00
Element x y z (fractional)
Hg 0.6734 0.1734 0.0000
Ge 0.8749 0.3749 0.5000
Hg 0.1734 0.3266 0.0000
Au 0.5000 0.5000 0.0000
Ge 0.3749 0.1251 0.5000
Hg 0.8266 0.6734 0.0000
Ge 0.1251 0.6251 0.5000
Ge 0.6251 0.8749 0.5000
Au 0.0000 0.0000 0.0000
Hg 0.3266 0.8266 0.0000

---

[10]
## EuAgHg (PBE-GGA)

Data for a geometry-optimized EuAgHg structure.

The calculation puts the total magnetic moment at 7.4 μB/cell. The offset from the most stable computed form is 574 meV/atom. As for the calculated formation energy: 185.5 meV per atom. The total energy comes out at -12.9 eV per cell.

abc: 3.2677 3.2677 8.5245
angles: 101.05 101.05 90.00
Element x y z (fractional)
Hg 0.7745 0.7745 0.5490
Ag 0.9456 0.9456 0.8912
Eu 0.1299 0.1299 0.2598

---

[11]
## Ho2HBr (PBE-GGA)

Data for a geometry-optimized Ho2HBr structure.

The calculation puts the total magnetic moment at 0.0 μB/cell. The total energy comes out at -16.9 eV per cell.

abc: 3.6122 3.6122 7.5602
angles: 76.18 76.18 60.00
Element x y z (fractional)
Ho 0.7264 0.7264 0.8208
Ho 0.2736 0.2736 0.1792
Br 0.5000 0.5000 0.5000
H 0.0000 0.0000 0.0000

---

[12]
## NaTaH2S (PBE-GGA)

Data for a geometry-optimized NaTaH2S structure.

The calculation puts the total magnetic moment at 0.0 μB/cell. The total energy comes out at -18.5 eV per cell.

abc: 4.0918 4.6641 4.0918
angles: 90.00 90.00 90.00
Element x y z (fractional)
S 0.0000 0.0000 0.0000
H 0.5000 0.0000 0.0000
H 0.0000 0.0000 0.5000
Ta 0.0000 0.5000 0.0000
Na 0.5000 0.5000 0.5000

---

[13]
## Pu2HfP3 (PBE-GGA)

Data for a geometry-optimized Pu2HfP3 structure.

The calculation puts the total magnetic moment at 0.0 μB/cell. As for the calculated formation energy: -1220.1 meV per atom. The total energy comes out at -124.3 eV per cell.

abc: 6.7171 6.7171 6.7246
angles: 99.52 99.52 119.98
Element x y z (fractional)
Pu 0.4974 0.5026 0.5000
Hf 0.0010 0.9990 0.0000
P 0.0694 0.4028 0.2355
P 0.5972 0.9306 0.7645
Pu 0.3333 0.6667 0.0000
P 0.7550 0.7464 0.2383
Pu 0.8333 0.1667 0.5000
Pu 0.1693 0.8307 0.5000
P 0.2536 0.2450 0.7617
P 0.9117 0.5870 0.7617
Hf 0.6656 0.3344 0.0000
P 0.4130 0.0883 0.2383

---

[14]
## Ce5TlAu3 (PBE-GGA)

Data for a geometry-optimized Ce5TlAu3 structure.

The calculation puts the total magnetic moment at 13.6 μB/cell. As for the calculated formation energy: -390.4 meV per atom. The total energy comes out at -90.8 eV per cell.

abc: 6.2836 9.2862 9.2858
angles: 120.00 90.00 90.00
Element x y z (fractional)
Ce 0.7500 0.0000 0.3215
Au 0.7500 0.6519 0.0000
Ce 0.7500 0.6785 0.6785
Ce 0.2500 0.3215 0.3215
Ce 0.0000 0.3333 0.6667
Ce 0.2500 0.6785 0.0000
Ce 0.0000 0.6667 0.3333
Au 0.2500 0.0000 0.3482
Ce 0.5000 0.3333 0.6667
Au 0.7500 0.0000 0.6518
Au 0.2500 0.6518 0.6518
Ce 0.7500 0.3215 0.0000
Au 0.7500 0.3482 0.3482
Au 0.2500 0.3481 0.0000
Ce 0.2500 0.0000 0.6785
Tl 0.5000 0.0000 0.0000
Ce 0.5000 0.6667 0.3333
Tl 0.0000 0.0000 0.0000

---

[15]
## Er2Th3Sc7 (PBE-GGA)

Data for a geometry-optimized Er2Th3Sc7 structure.

The calculation puts the total magnetic moment at 0.0 μB/cell. As for the calculated formation energy: 106.7 meV per atom. The total energy comes out at -74.4 eV per cell.

abc: 3.3444 6.0159 16.9545
angles: 75.92 90.00 90.00
Element x y z (fractional)
Th 0.0000 0.1236 0.3388
Sc 0.5000 0.0704 0.1636
Sc 0.5000 0.9296 0.8364
Sc 0.0000 0.5633 0.1628
Sc 0.0000 0.4367 0.8372
Th 0.0000 0.8764 0.6612
Th 0.5000 0.5000 0.0000
Sc 0.0000 0.0000 0.0000
Sc 0.5000 0.7526 0.5037
Er 0.5000 0.6343 0.3240
Er 0.5000 0.3657 0.6760
Sc 0.5000 0.2474 0.4963

---

[16]
## TbZnCu (PBE-GGA)

Data for a geometry-optimized TbZnCu structure.

The calculation puts the total magnetic moment at 0.0 μB/cell. As for the calculated formation energy: -183.0 meV per atom. The total energy comes out at -21.1 eV per cell.

abc: 4.3345 4.5434 6.7930
angles: 109.23 96.46 70.06
Element x y z (fractional)
Tb 0.3640 0.4528 0.2682
Cu 0.8648 0.2942 0.9555
Tb 0.3627 0.7173 0.8015
Cu 0.8600 0.8737 0.1145
Zn 0.0355 0.2462 0.5360
Zn 0.6914 0.9240 0.5336

---

[17]
## CdReIr3 (PBE-GGA)

Data for a geometry-optimized CdReIr3 structure.

The calculation puts the total magnetic moment at 0.0 μB/cell. The offset from the most stable computed form is 1489 meV/atom. As for the calculated formation energy: 2948.3 meV per atom. The total energy comes out at -25.2 eV per cell.

abc: 4.7066 4.7066 4.7066
angles: 90.00 90.00 90.00
Element x y z (fractional)
Cd 0.0000 0.0000 0.0000
Re 0.5000 0.5000 0.5000
Ir 0.5000 0.0000 0.0000
Ir 0.0000 0.0000 0.5000
Ir 0.0000 0.5000 0.0000

---

[18]
## AlRe2Tc (PBE-GGA)

Data for a geometry-optimized AlRe2Tc structure.

The calculation puts the total magnetic moment at 0.0 μB/cell. As for the calculated formation energy: -116.6 meV per atom. The total energy comes out at -39.5 eV per cell.

abc: 5.1086 5.1086 4.2999
angles: 65.08 65.08 35.13
Element x y z (fractional)
Re 0.9974 0.9974 0.0024
Re 0.7491 0.7491 0.7511
Al 0.2492 0.2492 0.2510
Tc 0.5042 0.5042 0.4955

---

[19]
## Nd4SiC (PBE-GGA)

Data for a geometry-optimized Nd4SiC structure.

The calculation puts the total magnetic moment at 0.0 μB/cell. The total energy comes out at -69.4 eV per cell. The value obtained for the uncorrected formation energy is -0.99 eV per formula unit.

abc: 6.0554 7.5123 9.6960
angles: 90.00 90.00 128.34
Element x y z (fractional)
Si 0.0002 0.4207 0.2500
Nd 0.4147 0.1199 0.7500
Nd 0.9995 0.2641 0.5426
C 0.9995 0.0898 0.7500
Nd 0.9995 0.2641 0.9574
Si 0.9998 0.5793 0.7500
C 0.0005 0.9102 0.2500
Nd 0.0005 0.7359 0.0426
Nd 0.5844 0.7047 0.7500
Nd 0.4156 0.2953 0.2500
Nd 0.5853 0.8801 0.2500
Nd 0.0005 0.7359 0.4574

---

[20]
## MnTlCu2S4 (PBE-GGA)

Data for a geometry-optimized MnTlCu2S4 structure.

The calculation puts the total magnetic moment at 3.9 μB/cell. The total energy comes out at -38.9 eV per cell. The value obtained for the uncorrected formation energy is -2.64 eV per formula unit.

abc: 6.6921 6.6921 6.6921
angles: 131.23 131.23 71.44
Element x y z (fractional)
Tl 0.5000 0.5000 0.0000
Mn 0.0000 0.0000 0.0000
S 0.9131 0.3642 0.0000
Cu 0.2500 0.7500 0.5000
S 0.6358 0.6358 0.5489
S 0.0869 0.0869 0.4511
S 0.3642 0.9131 0.0000
Cu 0.7500 0.2500 0.5000

---

[21]
## V4AgS8 (PBE-GGA)

Data for a geometry-optimized V4AgS8 structure.

The calculation puts the total magnetic moment at 0.0 μB/cell. The offset from the most stable computed form is 0 meV/atom. The total energy comes out at -82.3 eV per cell. The value obtained for the uncorrected formation energy is -10.00 eV per formula unit.

abc: 6.4020 6.4020 7.5845
angles: 101.82 102.57 119.97
Element x y z (fractional)
V 0.2510 0.7545 0.0055
S 0.6917 0.0221 0.2141
S 0.8080 0.4777 0.7859
S 0.3113 0.4790 0.7902
S 0.8076 0.9756 0.7832
S 0.3083 0.9779 0.7859
Ag 0.0000 0.5000 0.5000
V 0.7551 0.7551 0.0000
S 0.1920 0.5223 0.2141
S 0.1924 0.0244 0.2168
V 0.7490 0.2455 0.9945
S 0.6887 0.5210 0.2098
V 0.2449 0.2449 0.0000